The following is a DFT calculation (PBE) of a relaxed structure of La3YAl.

Values from the calculation:
Formation energy: 3.68 eV per formula unit
Size of the total moment: 0.00 μB per cell
Offset from the most stable computed form: 2.08 eV/f.u.
Calculated density: 4.66 Mg/m³

Cell lengths 5.748, 5.748, 5.748 Å; angles 90.00, 90.00, 90.00 degrees
Element x y z (fractional)
Y  0.000  0.000  0.000
Al  0.500  0.500  0.500
La  0.000  0.500  0.000
La  0.000  0.000  0.500
La  0.500  0.000  0.000